VASP calculation (PBE) on a relaxed structure of B2C.

Output
Theoretical density in g cm⁻³: 2.59
DOS at the Fermi energy in states/eV per atom: 0.2333
Calculated total energy in eV for the cell shown: -85.19
Volume in A^3/atom: 7.18

abc: 4.750 2.731 6.644
angles: 90.00 91.99 90.00
Space group P2/m (No. 10)
One atom of each set of equivalent atoms:
B (0.031, 0.000, 0.363)
B (0.178, 0.500, 0.584)
B (0.179, 0.500, 0.987)
B (0.446, 0.500, 0.374)
C (0.331, 0.000, 0.265)
C (0.346, 0.000, 0.033)